--- one ---
DFT (PBE-GGA) results for an optimized crystal structure of LuMgAlPt.

```
data_LuMgAlPt
_chemical_formula_sum 'Lu4 Mg4 Al4 Pt4'
_cell_length_a 6.594
_cell_length_b 6.594
_cell_length_c 6.594
_cell_angle_alpha 90.00
_cell_angle_beta 90.00
_cell_angle_gamma 90.00
_symmetry_space_group_name_H-M 'F -4 3 m'
_symmetry_Int_Tables_number 216
_symmetry_space_group_name_Hall 'F -4 2 3'
loop_
_atom_site_label
_atom_site_type_symbol
_atom_site_fract_x
_atom_site_fract_y
_atom_site_fract_z
Lu1 Lu 0.000 0.000 0.000
Mg1 Mg 0.250 0.250 0.250
Al1 Al 0.250 0.250 0.750
Pt1 Pt 0.000 0.000 0.500
```

Results
theoretical density	9.8	g/cm³

***

--- two ---
DFT (PBE-GGA) results for an optimized crystal structure of LuMgAlPt.

```
data_LuMgAlPt
_chemical_formula_sum 'Lu4 Mg4 Al4 Pt4'
_cell_length_a 6.613
_cell_length_b 6.613
_cell_length_c 6.613
_cell_angle_alpha 90.00
_cell_angle_beta 90.00
_cell_angle_gamma 90.00
_symmetry_space_group_name_H-M 'F -4 3 m'
_symmetry_Int_Tables_number 216
_symmetry_space_group_name_Hall 'F -4 2 3'
loop_
_atom_site_label
_atom_site_type_symbol
_atom_site_fract_x
_atom_site_fract_y
_atom_site_fract_z
Lu1 Lu 0.000 0.000 0.000
Mg1 Mg 0.250 0.250 0.250
Al1 Al 0.000 0.000 0.500
Pt1 Pt 0.250 0.250 0.750
```

Results
theoretical density	9.7	g/cm³

***

Quick one: most stable of them? two

***

--- one ---
DFT (PBE-GGA) results for an optimized crystal structure of LuAlNiMo.

```
data_LuAlNiMo
_chemical_formula_sum 'Lu4 Al4 Ni4 Mo4'
_cell_length_a 6.368
_cell_length_b 6.368
_cell_length_c 6.368
_cell_angle_alpha 90.00
_cell_angle_beta 90.00
_cell_angle_gamma 90.00
_symmetry_space_group_name_H-M 'F -4 3 m'
_symmetry_Int_Tables_number 216
_symmetry_space_group_name_Hall 'F -4 2 3'
loop_
_atom_site_label
_atom_site_type_symbol
_atom_site_fract_x
_atom_site_fract_y
_atom_site_fract_z
Lu1 Lu 0.000 0.000 0.000
Al1 Al 0.000 0.000 0.500
Ni1 Ni 0.250 0.250 0.750
Mo1 Mo 0.250 0.250 0.250
```

Results
theoretical density	9.2	g/cm³

***

--- two ---
DFT (PBE-GGA) results for an optimized crystal structure of LuAlNiMo.

```
data_LuAlNiMo
_chemical_formula_sum 'Lu4 Al4 Ni4 Mo4'
_cell_length_a 6.488
_cell_length_b 6.488
_cell_length_c 6.488
_cell_angle_alpha 90.00
_cell_angle_beta 90.00
_cell_angle_gamma 90.00
_symmetry_space_group_name_H-M 'F -4 3 m'
_symmetry_Int_Tables_number 216
_symmetry_space_group_name_Hall 'F -4 2 3'
loop_
_atom_site_label
_atom_site_type_symbol
_atom_site_fract_x
_atom_site_fract_y
_atom_site_fract_z
Lu1 Lu 0.000 0.000 0.000
Al1 Al 0.250 0.250 0.250
Ni1 Ni 0.000 0.000 0.500
Mo1 Mo 0.250 0.250 0.750
```

Results
theoretical density	8.7	g/cm³

***

Quick one: most stable of them? one

***

--- one ---
DFT (PBE-GGA) results for an optimized crystal structure of LuAlNiPd.

```
data_LuAlNiPd
_chemical_formula_sum 'Lu4 Al4 Ni4 Pd4'
_cell_length_a 6.373
_cell_length_b 6.373
_cell_length_c 6.373
_cell_angle_alpha 90.00
_cell_angle_beta 90.00
_cell_angle_gamma 90.00
_symmetry_space_group_name_H-M 'F -4 3 m'
_symmetry_Int_Tables_number 216
_symmetry_space_group_name_Hall 'F -4 2 3'
loop_
_atom_site_label
_atom_site_type_symbol
_atom_site_fract_x
_atom_site_fract_y
_atom_site_fract_z
Lu1 Lu 0.000 0.000 0.000
Al1 Al 0.000 0.000 0.500
Ni1 Ni 0.250 0.250 0.750
Pd1 Pd 0.250 0.250 0.250
```

Results
theoretical density	9.4	g/cm³

***

--- two ---
DFT (PBE-GGA) results for an optimized crystal structure of LuAlNiPd.

```
data_LuAlNiPd
_chemical_formula_sum 'Lu4 Al4 Ni4 Pd4'
_cell_length_a 6.469
_cell_length_b 6.469
_cell_length_c 6.469
_cell_angle_alpha 90.00
_cell_angle_beta 90.00
_cell_angle_gamma 90.00
_symmetry_space_group_name_H-M 'F -4 3 m'
_symmetry_Int_Tables_number 216
_symmetry_space_group_name_Hall 'F -4 2 3'
loop_
_atom_site_label
_atom_site_type_symbol
_atom_site_fract_x
_atom_site_fract_y
_atom_site_fract_z
Lu1 Lu 0.000 0.000 0.000
Al1 Al 0.250 0.250 0.250
Ni1 Ni 0.000 0.000 0.500
Pd1 Pd 0.250 0.250 0.750
```

Results
theoretical density	9.0	g/cm³

***

Quick one: most stable of them? one

***

--- one ---
DFT (PBE-GGA) results for an optimized crystal structure of LuAlTcNi.

```
data_LuAlTcNi
_chemical_formula_sum 'Lu4 Al4 Tc4 Ni4'
_cell_length_a 6.302
_cell_length_b 6.302
_cell_length_c 6.302
_cell_angle_alpha 90.00
_cell_angle_beta 90.00
_cell_angle_gamma 90.00
_symmetry_space_group_name_H-M 'F -4 3 m'
_symmetry_Int_Tables_number 216
_symmetry_space_group_name_Hall 'F -4 2 3'
loop_
_atom_site_label
_atom_site_type_symbol
_atom_site_fract_x
_atom_site_fract_y
_atom_site_fract_z
Lu1 Lu 0.000 0.000 0.000
Al1 Al 0.000 0.000 0.500
Tc1 Tc 0.250 0.250 0.250
Ni1 Ni 0.250 0.250 0.750
```

Results
theoretical density	9.5	g/cm³

***

--- two ---
DFT (PBE-GGA) results for an optimized crystal structure of LuAlTcNi.

```
data_LuAlTcNi
_chemical_formula_sum 'Lu4 Al4 Tc4 Ni4'
_cell_length_a 6.402
_cell_length_b 6.402
_cell_length_c 6.402
_cell_angle_alpha 90.00
_cell_angle_beta 90.00
_cell_angle_gamma 90.00
_symmetry_space_group_name_H-M 'F -4 3 m'
_symmetry_Int_Tables_number 216
_symmetry_space_group_name_Hall 'F -4 2 3'
loop_
_atom_site_label
_atom_site_type_symbol
_atom_site_fract_x
_atom_site_fract_y
_atom_site_fract_z
Lu1 Lu 0.000 0.000 0.000
Al1 Al 0.250 0.250 0.250
Tc1 Tc 0.250 0.250 0.750
Ni1 Ni 0.000 0.000 0.500
```

Results
theoretical density	9.1	g/cm³

***

Quick one: most stable of them? one

***

--- one ---
DFT (PBE-GGA) results for an optimized crystal structure of LuAlPO.

```
data_LuAlPO
_chemical_formula_sum 'Lu2 Al2 P2 O2'
_cell_length_a 4.039
_cell_length_b 4.039
_cell_length_c 9.169
_cell_angle_alpha 90.00
_cell_angle_beta 90.00
_cell_angle_gamma 90.00
_symmetry_space_group_name_H-M 'P 4/n m m'
_symmetry_Int_Tables_number 129
loop_
_symmetry_equiv_pos_as_xyz
'x,y,z'
'-x,-y,-z'
'-y+1/2,x,z'
'y+1/2,-x,-z'
'-x+1/2,-y+1/2,z'
'x+1/2,y+1/2,-z'
'y,-x+1/2,z'
'-y,x+1/2,-z'
'x+1/2,-y,-z'
'-x+1/2,y,z'
'-y,-x,-z'
'y,x,z'
'-x,y+1/2,-z'
'x,-y+1/2,z'
'y+1/2,x+1/2,-z'
'-y+1/2,-x+1/2,z'
loop_
_atom_site_label
_atom_site_type_symbol
_atom_site_fract_x
_atom_site_fract_y
_atom_site_fract_z
Lu1 Lu 0.250 0.750 0.000
Al1 Al 0.250 0.250 0.443
P1 P 0.250 0.250 0.191
O1 O 0.250 0.750 0.500
```

Results
theoretical density	5.5	g/cm³

***

--- two ---
DFT (PBE-GGA) results for an optimized crystal structure of LuAlPO.

```
data_LuAlPO
_chemical_formula_sum 'Lu2 Al2 P2 O2'
_cell_length_a 3.912
_cell_length_b 3.912
_cell_length_c 8.303
_cell_angle_alpha 90.00
_cell_angle_beta 90.00
_cell_angle_gamma 90.00
_symmetry_space_group_name_H-M 'P 4/n m m'
_symmetry_Int_Tables_number 129
loop_
_symmetry_equiv_pos_as_xyz
'x,y,z'
'-x,-y,-z'
'-y+1/2,x,z'
'y+1/2,-x,-z'
'-x+1/2,-y+1/2,z'
'x+1/2,y+1/2,-z'
'y,-x+1/2,z'
'-y,x+1/2,-z'
'x+1/2,-y,-z'
'-x+1/2,y,z'
'-y,-x,-z'
'y,x,z'
'-x,y+1/2,-z'
'x,-y+1/2,z'
'y+1/2,x+1/2,-z'
'-y+1/2,-x+1/2,z'
loop_
_atom_site_label
_atom_site_type_symbol
_atom_site_fract_x
_atom_site_fract_y
_atom_site_fract_z
Lu1 Lu 0.250 0.250 0.120
Al1 Al 0.250 0.750 0.500
P1 P 0.250 0.250 0.673
O1 O 0.250 0.750 0.000
```

Results
theoretical density	6.5	g/cm³

***

Quick one: most stable of them? two

***

--- one ---
DFT (PBE-GGA) results for an optimized crystal structure of LuAlTc.

```
data_LuAlTc
_chemical_formula_sum 'Lu4 Al4 Tc4'
_cell_length_a 6.308
_cell_length_b 6.308
_cell_length_c 6.308
_cell_angle_alpha 90.00
_cell_angle_beta 90.00
_cell_angle_gamma 90.00
_symmetry_space_group_name_H-M 'F -4 3 m'
_symmetry_Int_Tables_number 216
_symmetry_space_group_name_Hall 'F -4 2 3'
loop_
_atom_site_label
_atom_site_type_symbol
_atom_site_fract_x
_atom_site_fract_y
_atom_site_fract_z
Lu1 Lu 0.000 0.000 0.000
Al1 Al 0.000 0.000 0.500
Tc1 Tc 0.250 0.250 0.750
```

Results
theoretical density	7.9	g/cm³

***

--- two ---
DFT (PBE-GGA) results for an optimized crystal structure of LuAlTc.

```
data_LuAlTc
_chemical_formula_sum 'Lu4 Al4 Tc4'
_cell_length_a 6.452
_cell_length_b 6.452
_cell_length_c 6.452
_cell_angle_alpha 90.00
_cell_angle_beta 90.00
_cell_angle_gamma 90.00
_symmetry_space_group_name_H-M 'F -4 3 m'
_symmetry_Int_Tables_number 216
_symmetry_space_group_name_Hall 'F -4 2 3'
loop_
_atom_site_label
_atom_site_type_symbol
_atom_site_fract_x
_atom_site_fract_y
_atom_site_fract_z
Lu1 Lu 0.000 0.000 0.000
Al1 Al 0.250 0.250 0.750
Tc1 Tc 0.250 0.250 0.250
```

Results
theoretical density	7.4	g/cm³

***

Quick one: most stable of them? one